{
  "formula": "CuSe",
  "functional": "GGA-PBEsol",
  "state": "optimized geometry",
  "lattice": [[-2.858, 1.543, -1.814], [-0.470, -3.205, 1.829], [-1.631, 3.315, 5.390]],
  "species": ["Se", "Se", "Cu", "Cu"],
  "fractional_positions": [[0.667, 0.333, 0.636], [0.333, 0.667, 0.136], [0.667, 0.333, 0.993], [0.333, 0.667, 0.493]],
  "spacegroup": "No. 186",
  "m_tot_mub_per_cell": 0.000,
  "dft_energy_ev_per_cell": -16.729,
  "formation_energy_uncorrected_ev_per_atom": -0.09,
  "vol_a3_per_cell": 78.3
}

***

{
  "formula": "CuSe",
  "functional": "GGA-PBEsol",
  "state": "optimized geometry",
  "lattice": [[3.683, 0.000, 0.000], [0.000, 3.683, 0.000], [0.000, 0.000, 5.334]],
  "species": ["Se", "Se", "Cu", "Cu"],
  "fractional_positions": [[0.500, 0.000, 0.291], [0.000, 0.500, 0.709], [0.500, 0.500, 0.000], [0.000, 0.000, 0.000]],
  "spacegroup": "No. 129",
  "m_tot_mub_per_cell": 0.000,
  "dft_energy_ev_per_cell": -16.712,
  "formation_energy_uncorrected_ev_per_atom": -0.09,
  "vol_a3_per_cell": 72.3
}

***

{
  "formula": "CuSe",
  "functional": "GGA-PBEsol",
  "state": "optimized geometry",
  "lattice": [[-0.169, 0.460, 3.776], [-2.610, -2.128, -1.778], [2.973, -4.183, 0.642]],
  "species": ["Se", "Se", "Cu", "Cu"],
  "fractional_positions": [[0.667, 0.333, 0.750], [0.333, 0.667, 0.250], [0.000, 0.000, 0.000], [0.000, 0.000, 0.500]],
  "spacegroup": "No. 194",
  "m_tot_mub_per_cell": 0.000,
  "dft_energy_ev_per_cell": -16.707,
  "formation_energy_uncorrected_ev_per_atom": -0.08,
  "vol_a3_per_cell": 64.9
}

***

{
  "formula": "CuSe3",
  "functional": "GGA-PBEsol",
  "state": "optimized geometry",
  "lattice": [[3.555, 0.000, 0.000], [0.000, 4.306, 0.000], [-1.777, -2.153, 5.153]],
  "species": ["Cu", "Se", "Se", "Se"],
  "fractional_positions": [[0.000, 0.016, 0.000], [0.500, 0.415, 0.000], [0.335, 0.703, 0.670], [0.665, 0.033, 0.330]],
  "spacegroup": "No. 44",
  "m_tot_mub_per_cell": 0.000,
  "dft_energy_ev_per_cell": -15.351,
  "formation_energy_uncorrected_ev_per_atom": 0.13,
  "vol_a3_per_cell": 78.9
}

***

{
  "formula": "CuSe",
  "functional": "GGA-PBEsol",
  "state": "optimized geometry",
  "lattice": [[3.865, 0.000, 0.000], [-1.933, 3.501, 0.000], [0.000, 0.000, 16.836]],
  "species": ["Cu", "Cu", "Cu", "Cu", "Cu", "Cu", "Se", "Se", "Se", "Se", "Se", "Se"],
  "fractional_positions": [[0.555, 0.110, 0.250], [0.445, 0.890, 0.750], [0.650, 0.301, 0.613], [0.350, 0.699, 0.113], [0.650, 0.301, 0.887], [0.350, 0.699, 0.387], [0.769, 0.538, 0.750], [0.231, 0.462, 0.250], [0.981, 0.963, 0.571], [0.019, 0.037, 0.071], [0.981, 0.963, 0.929], [0.019, 0.037, 0.429]],
  "spacegroup": "No. 63",
  "m_tot_mub_per_cell": 0.000,
  "dft_energy_ev_per_cell": -50.448,
  "formation_energy_uncorrected_ev_per_atom": -0.11,
  "vol_a3_per_cell": 227.9
}

***

{
  "formula": "CuSe3",
  "functional": "GGA-PBEsol",
  "state": "optimized geometry",
  "lattice": [[-1.354, 0.228, 2.799], [-3.912, -2.077, -1.723], [1.738, -4.260, 1.188]],
  "species": ["Cu", "Se", "Se", "Se"],
  "fractional_positions": [[0.000, 0.000, 0.000], [0.500, 0.000, 0.500], [0.500, 0.500, 0.000], [0.000, 0.500, 0.500]],
  "spacegroup": "No. 123",
  "m_tot_mub_per_cell": 0.000,
  "dft_energy_ev_per_cell": -14.078,
  "formation_energy_uncorrected_ev_per_atom": 0.45,
  "vol_a3_per_cell": 70.4
}

***

{
  "formula": "CuSe3",
  "functional": "GGA-PBEsol",
  "state": "optimized geometry",
  "lattice": [[-3.131, 1.499, 1.518], [-1.184, -6.473, 3.950], [4.185, 5.681, 3.021]],
  "species": ["Cu", "Cu", "Se", "Se", "Se", "Se", "Se", "Se"],
  "fractional_positions": [[0.250, 0.644, 0.356], [0.750, 0.356, 0.644], [0.750, 0.070, 0.930], [0.250, 0.930, 0.070], [0.750, 0.031, 0.393], [0.250, 0.969, 0.607], [0.750, 0.607, 0.969], [0.250, 0.393, 0.031]],
  "spacegroup": "No. 63",
  "m_tot_mub_per_cell": 0.000,
  "dft_energy_ev_per_cell": -29.516,
  "formation_energy_uncorrected_ev_per_atom": 0.28,
  "vol_a3_per_cell": 192.6
}

***

{
  "formula": "CuSe2",
  "functional": "GGA-PBEsol",
  "state": "optimized geometry",
  "lattice": [[-2.919, -0.766, -2.175], [3.049, -1.880, -3.431], [-0.485, -5.515, 2.592]],
  "species": ["Cu", "Cu", "Se", "Se", "Se", "Se"],
  "fractional_positions": [[0.000, 0.000, 0.000], [0.500, 0.500, 0.500], [0.000, 0.190, 0.383], [0.000, 0.810, 0.617], [0.500, 0.690, 0.117], [0.500, 0.310, 0.883]],
  "spacegroup": "No. 58",
  "m_tot_mub_per_cell": 0.001,
  "dft_energy_ev_per_cell": -24.732,
  "formation_energy_uncorrected_ev_per_atom": -0.11,
  "vol_a3_per_cell": 112.8
}

***

Repeat the first record exactly.
{
  "formula": "CuSe",
  "functional": "GGA-PBEsol",
  "state": "optimized geometry",
  "lattice": [[-2.858, 1.543, -1.814], [-0.470, -3.205, 1.829], [-1.631, 3.315, 5.390]],
  "species": ["Se", "Se", "Cu", "Cu"],
  "fractional_positions": [[0.667, 0.333, 0.636], [0.333, 0.667, 0.136], [0.667, 0.333, 0.993], [0.333, 0.667, 0.493]],
  "spacegroup": "No. 186",
  "m_tot_mub_per_cell": 0.000,
  "dft_energy_ev_per_cell": -16.729,
  "formation_energy_uncorrected_ev_per_atom": -0.09,
  "vol_a3_per_cell": 78.3
}